InAs2Pb, optimized geometry, DFT PBE; space group = Fm-3m; M_tot = 0.00 Bohr magnetons per cell; electronic total energy = -3.74 eV per atom
1.0
0.0000 3.6387 3.6387
3.6387 0.0000 3.6387
3.6387 3.6387 0.0000
In As Pb
1 2 1
Direct
0.0000 0.0000 0.0000
0.2500 0.2500 0.2500
0.7500 0.7500 0.7500
0.5000 0.5000 0.5000

***

LiCuSb2, optimized geometry, DFT PBE; space group = P2/m; M_tot = 0.00 Bohr magnetons per cell; uncorrected formation energy = -0.1121 eV/atom
1.0
3.2505 0.0000 0.0000
0.0000 4.2250 0.0000
-0.0679 0.0000 6.3777
Li Cu Sb
1 1 2
Direct
0.0000 0.0000 0.0000
0.5000 0.0000 0.5000
0.4959 0.5000 0.7519
0.5041 0.5000 0.2481

***

Ce5Bi4P, optimized geometry, DFT PBE; space group = I4/mmm; M_tot = 1.07 Bohr magnetons per cell; electronic total energy = -5.93 eV per atom
1.0
-2.2584 2.2584 15.9127
2.2584 -2.2584 15.9127
2.2584 2.2584 -15.9127
Ce Bi P
5 4 1
Direct
0.0000 0.0000 0.0000
0.2008 0.2008 0.0000
0.4094 0.4094 0.0000
0.5906 0.5906 0.0000
0.7992 0.7992 0.0000
0.1001 0.1001 0.0000
0.3036 0.3036 0.0000
0.6964 0.6964 0.0000
0.8999 0.8999 0.0000
0.5000 0.5000 0.0000

***

NaCa2Rh2, optimized geometry, DFT PBE; space group = P4/mbm; M_tot = 0.00 Bohr magnetons per cell; electronic total energy = -4.13 eV per atom
1.0
7.9137 0.0000 0.0000
0.0000 7.9137 0.0000
0.0000 0.0000 3.6017
Na Ca Rh
2 4 4
Direct
0.0000 0.0000 0.0000
0.5000 0.5000 0.0000
0.1631 0.3369 0.5000
0.3369 0.8369 0.5000
0.6631 0.1631 0.5000
0.8369 0.6631 0.5000
0.1271 0.6271 0.0000
0.3729 0.1271 0.0000
0.6271 0.8729 0.0000
0.8729 0.3729 0.0000